(w)
First-principles (PBE-GGA) data for Ho2AgS after structural relaxation, as listed in the Alexandria database.

Unit cell a=3.7765 b=3.7765 c=23.1517 alpha=90.00 beta=90.00 gamma=120.00
With the nearest neighbours (Å) after each atom.
Element x y z (fractional)
Ho 0.0000 0.0000 0.0000  3 S 2.82, 3 Ag 2.97
Ho 0.0000 0.0000 0.1572  3 S 2.86, 3 Ag 3.00
Ho 0.3333 0.6667 0.6667  3 S 2.82, 3 Ag 2.97
Ho 0.3333 0.6667 0.8239  3 S 2.86, 3 Ag 3.00
Ho 0.6667 0.3333 0.3333  3 S 2.82, 3 Ag 2.97
Ho 0.6667 0.3333 0.4905  3 S 2.86, 3 Ag 3.00
Ag 0.0000 0.0000 0.5794  6 Ho 2.97-3.00
Ag 0.3333 0.6667 0.2461  6 Ho 2.97-3.00
Ag 0.6667 0.3333 0.9128  6 Ho 2.97-3.00
S 0.0000 0.0000 0.4104  6 Ho 2.82-2.86
S 0.3333 0.6667 0.0770  6 Ho 2.82-2.86
S 0.6667 0.3333 0.7437  6 Ho 2.82-2.86

## Properties
Crystal system: trigonal

(x)
First-principles (PBE-GGA) data for Ho2AgS after structural relaxation, as listed in the Alexandria database.

Unit cell a=3.9503 b=22.8819 c=4.0399 alpha=90.00 beta=90.00 gamma=90.00
With the nearest neighbours (Å) after each atom.
Element x y z (fractional)
Ho 0.0000 0.0752 0.2500  1 S 2.72, 4 Ag 2.92
Ho 0.0000 0.3121 0.2500  5 S 2.70-2.83
Ho 0.0000 0.6879 0.7500  5 S 2.70-2.83
Ho 0.0000 0.9248 0.7500  1 S 2.72, 4 Ag 2.92
Ho 0.5000 0.1879 0.7500  5 S 2.70-2.83
Ho 0.5000 0.4248 0.7500  1 S 2.72, 4 Ag 2.92
Ho 0.5000 0.5752 0.2500  1 S 2.72, 4 Ag 2.92
Ho 0.5000 0.8121 0.2500  5 S 2.70-2.83
Ag 0.0000 0.4567 0.2500  2 Ag 2.83, 4 Ho 2.92
Ag 0.0000 0.5433 0.7500  2 Ag 2.83, 4 Ho 2.92
Ag 0.5000 0.0433 0.7500  2 Ag 2.83, 4 Ho 2.92
Ag 0.5000 0.9567 0.2500  2 Ag 2.83, 4 Ho 2.92
S 0.0000 0.1941 0.2500  6 Ho 2.70-2.83
S 0.0000 0.8059 0.7500  6 Ho 2.70-2.83
S 0.5000 0.3059 0.7500  6 Ho 2.70-2.83
S 0.5000 0.6941 0.2500  6 Ho 2.70-2.83

## Properties
Crystal system: orthorhombic

(y)
First-principles (PBE-GGA) data for Ho2AgS after structural relaxation, as listed in the Alexandria database.

Unit cell a=3.8503 b=3.8503 c=21.9176 alpha=90.00 beta=90.00 gamma=120.00
With the nearest neighbours (Å) after each atom.
Element x y z (fractional)
Ho 0.0000 0.0000 0.2412  3 S 2.76, 3 Ag 3.00
Ho 0.0000 0.0000 0.7588  3 S 2.76, 3 Ag 3.00
Ho 0.3333 0.6667 0.4255  3 S 2.76, 3 Ag 3.00
Ho 0.3333 0.6667 0.9079  3 S 2.76, 3 Ag 3.00
Ho 0.6667 0.3333 0.0921  3 S 2.76, 3 Ag 3.00
Ho 0.6667 0.3333 0.5745  3 S 2.76, 3 Ag 3.00
Ag 0.0000 0.0000 0.0000  6 Ho 3.00
Ag 0.3333 0.6667 0.6667  6 Ho 3.00
Ag 0.6667 0.3333 0.3333  6 Ho 3.00
S 0.0000 0.0000 0.5000  6 Ho 2.76
S 0.3333 0.6667 0.1667  6 Ho 2.76
S 0.6667 0.3333 0.8333  6 Ho 2.76

## Properties
Crystal system: trigonal

Most favorable structure: (x). The second most favorable one is 7.5 kJ/mol of atoms above it.

(w)
First-principles (PBE-GGA) data for Ho3Sc2Ag2 after structural relaxation, as listed in the Alexandria database.

Unit cell a=12.8474 b=3.5314 c=8.7963 alpha=90.00 beta=115.34 gamma=90.00
With the nearest neighbours (Å) after each atom.
Element x y z (fractional)
Ho 0.0000 0.0000 0.0000  4 Ag 2.93
Ho 0.1081 0.0000 0.4443  3 Ag 3.01-3.11, 1 Ho 3.32
Ho 0.3919 0.5000 0.5557  3 Ag 3.01-3.11, 1 Ho 3.32
Ho 0.5000 0.5000 0.0000  4 Ag 2.93
Ho 0.6081 0.5000 0.4443  3 Ag 3.01-3.11, 1 Ho 3.32
Ho 0.8919 0.0000 0.5557  3 Ag 3.01-3.11, 1 Ho 3.32
Sc 0.1421 0.5000 0.8142  2 Ag 2.95
Sc 0.3579 0.0000 0.1858  2 Ag 2.95
Sc 0.6421 0.0000 0.8142  2 Ag 2.95
Sc 0.8579 0.5000 0.1858  2 Ag 2.95
Ag 0.1851 0.5000 0.2196  5 Ho 2.93-3.11, 2 Sc 2.95
Ag 0.3149 0.0000 0.7804  5 Ho 2.93-3.11, 2 Sc 2.95
Ag 0.6851 0.0000 0.2196  5 Ho 2.93-3.11, 2 Sc 2.95
Ag 0.8149 0.5000 0.7804  5 Ho 2.93-3.11, 2 Sc 2.95

## Properties
Crystal system: monoclinic

(x)
First-principles (PBE-GGA) data for Ho3Sc2Ag2 after structural relaxation, as listed in the Alexandria database.

Unit cell a=4.7674 b=21.6474 c=3.3575 alpha=90.00 beta=90.00 gamma=90.00
With the nearest neighbours (Å) after each atom.
Element x y z (fractional)
Ho 0.0000 0.0000 0.0000  4 Ho 3.23-3.36, 8 Ag 3.31
Ho 0.0000 0.1491 0.0000  3 Ho 3.23-3.36, 6 Sc 3.23-3.42, 4 Ag 3.35
Ho 0.0000 0.8509 0.0000  3 Ho 3.23-3.36, 6 Sc 3.23-3.42, 4 Ag 3.35
Ho 0.5000 0.3509 0.0000  3 Ho 3.23-3.36, 6 Sc 3.23-3.42, 4 Ag 3.35
Ho 0.5000 0.5000 0.0000  4 Ho 3.23-3.36, 8 Ag 3.31
Ho 0.5000 0.6491 0.0000  3 Ho 3.23-3.36, 6 Sc 3.23-3.42, 4 Ag 3.35
Sc 0.0000 0.2868 0.5000  2 Sc 2.87, 1 Ag 3.04
Sc 0.0000 0.7132 0.5000  2 Sc 2.87, 1 Ag 3.04
Sc 0.5000 0.2132 0.5000  2 Sc 2.87, 1 Ag 3.04
Sc 0.5000 0.7868 0.5000  2 Sc 2.87, 1 Ag 3.04
Ag 0.0000 0.4274 0.5000  1 Sc 3.04, 3 Ag 3.15-3.36, 8 Ho 3.31-3.35
Ag 0.0000 0.5726 0.5000  1 Sc 3.04, 3 Ag 3.15-3.36, 8 Ho 3.31-3.35
Ag 0.5000 0.0726 0.5000  1 Sc 3.04, 3 Ag 3.15-3.36, 8 Ho 3.31-3.35
Ag 0.5000 0.9274 0.5000  1 Sc 3.04, 3 Ag 3.15-3.36, 8 Ho 3.31-3.35

## Properties
Crystal system: orthorhombic

Most favorable structure: (w). The second most favorable one is 8.4 kJ/mol of atoms above it.